DFT (GGA+U) results for a relaxed PaCo2F11 crystal.

Unit cell a=8.5413 b=8.0602 c=8.0602 alpha=64.37 beta=58.01 gamma=58.01
Last column: magnetic moment on the atom in μB.
Element x y z (fractional)
Pa 0.7500 0.7500 0.7500  0.08
Pa 0.2500 0.2500 0.2500  0.08
Co 0.6586 0.6592 0.3408  3.22
Co 0.3414 0.3408 0.6592  3.22
Co 0.8414 0.1592 0.8408  3.22
Co 0.1586 0.8408 0.1592  3.22
F 0.6531 0.6880 0.5829  0.06
F 0.3469 0.3120 0.4171  0.06
F 0.0759 0.5829 0.6880  0.06
F 0.8469 0.9171 0.8120  0.06
F 0.9241 0.4171 0.3120  0.06
F 0.1531 0.0829 0.1880  0.06
F 0.4241 0.8120 0.9171  0.06
F 0.5759 0.1880 0.0829  0.06
F 0.5000 0.5000 0.5000  0.18
F 0.0000 0.0000 0.0000  0.18
F 0.8026 0.8012 0.1988  0.35
F 0.1974 0.1988 0.8012  0.35
F 0.6974 0.3012 0.6988  0.35
F 0.3026 0.6988 0.3012  0.35
F 0.4173 0.9251 0.3461  0.06
F 0.5827 0.0749 0.6539  0.06
F 0.3115 0.3461 0.9251  0.06
F 0.0827 0.1539 0.5749  0.06
F 0.6885 0.6539 0.0749  0.06
F 0.9173 0.8461 0.4251  0.06
F 0.1885 0.5749 0.1539  0.06
F 0.8115 0.4251 0.8461  0.06

As for the total energy: -5.519 eV per atom.